Entry 1:
DFT (PBE) results for a geometry-optimized Tb6HoSc structure.

Computed properties:
Volume in Å³/atom: 31.357
Space group: P-1
Formation enthalpy at 0 K in meV per atom: 205
E in eV per atom: -4.63

Cell: 6.7168 6.4417 6.9479 Å, 103.80 59.76 91.91°
Last column: nearest neighbours and their distance in Å.
Sites, in units of the cell vectors:
1 Tb 0.4455 0.2478 0.9952  6 Tb 3.26-3.64, 1 Sc 3.33, 1 Ho 3.43
2 Sc 0.0000 0.0000 0.0000  2 Ho 3.22, 6 Tb 3.28-3.58
3 Tb 0.5650 0.7725 0.5325  6 Tb 3.28-3.64, 1 Ho 3.42, 1 Sc 3.58
4 Ho 0.0000 0.5000 0.0000  2 Sc 3.22, 4 Tb 3.42-3.43
5 Tb 0.5545 0.7522 0.0048  6 Tb 3.26-3.64, 1 Sc 3.33, 1 Ho 3.43
6 Tb 0.4350 0.2275 0.4675  6 Tb 3.28-3.64, 1 Ho 3.42, 1 Sc 3.58
7 Tb 0.9072 0.2620 0.5089  6 Tb 3.26-3.59, 1 Sc 3.28
8 Tb 0.0928 0.7380 0.4911  6 Tb 3.26-3.59, 1 Sc 3.28


Entry 2:
DFT (PBE) results for a geometry-optimized TbHo6Sc4 structure.

Computed properties:
Volume in Å³/atom: 30.698
Space group: P-6m2
Formation enthalpy at 0 K in meV per atom: 338
E in eV per atom: -4.88

Cell: 5.2177 8.6446 8.6446 Å, 120.00 90.00 90.00°
Last column: nearest neighbours and their distance in Å.
Sites, in units of the cell vectors:
1 Ho 0.5000 0.5992 0.7996  4 Sc 3.10-3.28, 2 Ho 3.45
2 Ho 0.5000 0.2004 0.7996  4 Sc 3.10-3.28, 2 Ho 3.45
3 Ho 0.0000 0.9328 0.4664  5 Sc 3.00-3.23
4 Sc 0.5000 0.4264 0.2132  6 Ho 3.10-3.23, 2 Sc 3.12
5 Ho 0.5000 0.2004 0.4008  4 Sc 3.10-3.28, 2 Ho 3.45
6 Sc 0.0000 0.3333 0.6667  9 Ho 3.00-3.28
7 Tb 0.0000 0.0000 0.0000  12 Ho 3.98-4.35, 6 Sc 4.12
8 Sc 0.5000 0.7868 0.5736  6 Ho 3.10-3.23, 2 Sc 3.12
9 Ho 0.0000 0.5336 0.0672  5 Sc 3.00-3.23
10 Sc 0.5000 0.7868 0.2132  6 Ho 3.10-3.23, 2 Sc 3.12
11 Ho 0.0000 0.5336 0.4664  5 Sc 3.00-3.23


Entry 3:
DFT (PBE) results for a geometry-optimized TbHo6Sc structure.

Computed properties:
Volume in Å³/atom: 30.970
Space group: R-3m
Formation enthalpy at 0 K in meV per atom: 249
E in eV per atom: -4.55

Cell: 6.9194 6.9194 6.9194 Å, 110.21 110.21 110.21°
Last column: nearest neighbours and their distance in Å.
Sites, in units of the cell vectors:
1 Tb 0.0000 0.0000 0.0000  2 Sc 3.33, 6 Ho 3.40
2 Ho 0.7489 0.2618 0.7489  1 Sc 3.24, 6 Ho 3.29-3.53, 1 Tb 3.40
3 Ho 0.2618 0.7489 0.7489  1 Sc 3.24, 6 Ho 3.29-3.53, 1 Tb 3.40
4 Ho 0.7382 0.2511 0.2511  1 Sc 3.24, 6 Ho 3.29-3.53, 1 Tb 3.40
5 Ho 0.7489 0.7489 0.2618  1 Sc 3.24, 6 Ho 3.29-3.53, 1 Tb 3.40
6 Sc 0.5000 0.5000 0.5000  6 Ho 3.24, 2 Tb 3.33
7 Ho 0.2511 0.2511 0.7382  1 Sc 3.24, 6 Ho 3.29-3.53, 1 Tb 3.40
8 Ho 0.2511 0.7382 0.2511  1 Sc 3.24, 6 Ho 3.29-3.53, 1 Tb 3.40


Entry 4:
DFT (PBE) results for a geometry-optimized Tb3Ho3Sc structure.

Computed properties:
Volume in Å³/atom: 31.990
Space group: R-3
Formation enthalpy at 0 K in meV per atom: 162
E in eV per atom: -4.69

Cell: 6.1231 6.1231 14.2391 Å, 77.58 77.58 60.00°
Last column: nearest neighbours and their distance in Å.
Sites, in units of the cell vectors:
1 Tb 0.1317 0.4626 0.6052  3 Ho 3.50, 9 Tb 3.51-3.55
2 Sc 0.3333 0.3333 0.0000  6 Ho 3.31, 3 Sc 3.54
3 Sc 0.6667 0.6667 0.0000  6 Ho 3.31, 3 Sc 3.54
4 Tb 0.5374 0.1995 0.3948  3 Ho 3.50, 9 Tb 3.51-3.55
5 Ho 0.2716 0.6024 0.1889  2 Sc 3.31, 3 Tb 3.50, 6 Ho 3.53-3.55
6 Tb 0.4626 0.8005 0.6052  3 Ho 3.50, 9 Tb 3.51-3.55
7 Ho 0.3976 0.0629 0.8111  2 Sc 3.31, 3 Tb 3.50, 6 Ho 3.53-3.55
8 Ho 0.6024 0.9371 0.1889  2 Sc 3.31, 3 Tb 3.50, 6 Ho 3.53-3.55
9 Tb 0.8005 0.1317 0.6052  3 Ho 3.50, 9 Tb 3.51-3.55
10 Ho 0.9371 0.2716 0.1889  2 Sc 3.31, 3 Tb 3.50, 6 Ho 3.53-3.55
11 Ho 0.0629 0.7284 0.8111  2 Sc 3.31, 3 Tb 3.50, 6 Ho 3.53-3.55
12 Tb 0.1995 0.8683 0.3948  3 Ho 3.50, 9 Tb 3.51-3.55
13 Tb 0.8683 0.5374 0.3948  3 Ho 3.50, 9 Tb 3.51-3.55
14 Ho 0.7284 0.3976 0.8111  2 Sc 3.31, 3 Tb 3.50, 6 Ho 3.53-3.55


Entry 5:
DFT (PBE) results for a geometry-optimized TbHoSc structure.

Computed properties:
Volume in Å³/atom: 28.909
Space group: P-6m2
Formation enthalpy at 0 K in meV per atom: 77
E in eV per atom: -5.10

Cell: 3.3673 5.4534 5.4534 Å, 120.00 90.00 90.00°
Last column: nearest neighbours and their distance in Å.
Sites, in units of the cell vectors:
1 Ho 0.1660 0.0000 0.0000  3 Sc 3.15, 2 Ho 3.37
2 Sc 0.1674 0.3333 0.6667  3 Ho 3.15, 2 Sc 3.37
3 Tb 0.6666 0.6667 0.3333  2 Tb 3.37, 6 Sc 3.57, 6 Ho 3.57


Entry 6:
DFT (PBE) results for a geometry-optimized Tb12HoSc6 structure.

Computed properties:
Volume in Å³/atom: 30.086
Space group: Im-3
Formation enthalpy at 0 K in meV per atom: 238
E in eV per atom: -4.93

Cell: 9.0555 9.0555 9.0555 Å, 109.47 109.47 109.47°
Last column: nearest neighbours and their distance in Å.
Sites, in units of the cell vectors:
1 Sc 0.3623 0.5000 0.8623  1 Sc 2.88, 2 Tb 2.99
2 Tb 0.8028 0.7331 0.5359  1 Sc 2.99
3 Sc 0.5000 0.8623 0.3623  1 Sc 2.88, 2 Tb 2.99
4 Ho 0.0000 0.0000 0.0000  12 Tb 3.47
5 Tb 0.4641 0.1972 0.2669  1 Sc 2.99
6 Sc 0.6377 0.5000 0.1377  1 Sc 2.88, 2 Tb 2.99
7 Tb 0.0697 0.8028 0.2669  1 Sc 2.99
8 Tb 0.2669 0.0697 0.8028  1 Sc 2.99
9 Tb 0.7331 0.5359 0.8028  1 Sc 2.99
10 Sc 0.5000 0.1377 0.6377  1 Sc 2.88, 2 Tb 2.99
11 Sc 0.1377 0.6377 0.5000  1 Sc 2.88, 2 Tb 2.99
12 Tb 0.1972 0.2669 0.4641  1 Sc 2.99
13 Sc 0.8623 0.3623 0.5000  1 Sc 2.88, 2 Tb 2.99
14 Tb 0.1972 0.7331 0.9303  1 Sc 2.99
15 Tb 0.2669 0.4641 0.1972  1 Sc 2.99
16 Tb 0.5359 0.8028 0.7331  1 Sc 2.99
17 Tb 0.7331 0.9303 0.1972  1 Sc 2.99
18 Tb 0.9303 0.1972 0.7331  1 Sc 2.99
19 Tb 0.8028 0.2669 0.0697  1 Sc 2.99


Entry 7:
DFT (PBE) results for a geometry-optimized Tb4HoSc structure.

Computed properties:
Volume in Å³/atom: 30.417
Space group: C2/m
Formation enthalpy at 0 K in meV per atom: 33
E in eV per atom: -4.87

Cell: 4.9551 7.8414 6.0632 Å, 104.94 65.88 71.58°
Last column: nearest neighbours and their distance in Å.
Sites, in units of the cell vectors:
1 Tb 0.3337 0.3301 0.0024  7 Tb 3.48-3.55, 2 Sc 3.48, 3 Ho 3.49-3.53
2 Ho 0.5000 0.5000 0.5000  10 Tb 3.49-3.53, 2 Sc 3.51
3 Sc 0.0000 0.0000 0.0000  10 Tb 3.48-3.50, 2 Ho 3.51
4 Tb 0.1681 0.1648 0.4990  7 Tb 3.48-3.53, 3 Sc 3.50, 2 Ho 3.51
5 Tb 0.6663 0.6699 0.9976  7 Tb 3.48-3.55, 2 Sc 3.48, 3 Ho 3.49-3.53
6 Tb 0.8319 0.8352 0.5010  7 Tb 3.48-3.53, 3 Sc 3.50, 2 Ho 3.51


Entry 8:
DFT (PBE) results for a geometry-optimized TbHo12Sc6 structure.

Computed properties:
Volume in Å³/atom: 29.602
Space group: Im-3
Formation enthalpy at 0 K in meV per atom: 241
E in eV per atom: -4.89

Cell: 9.0067 9.0067 9.0067 Å, 109.47 109.47 109.47°
Last column: nearest neighbours and their distance in Å.
Sites, in units of the cell vectors:
1 Ho 0.4628 0.1962 0.2666  1 Sc 2.98
2 Sc 0.1378 0.6378 0.5000  1 Sc 2.87, 2 Ho 2.98
3 Ho 0.9296 0.1962 0.7334  1 Sc 2.98
4 Ho 0.5372 0.8038 0.7334  1 Sc 2.98
5 Ho 0.0704 0.8038 0.2666  1 Sc 2.98
6 Sc 0.3622 0.5000 0.8622  1 Sc 2.87, 2 Ho 2.98
7 Ho 0.7334 0.5372 0.8038  1 Sc 2.98
8 Sc 0.5000 0.8622 0.3622  1 Sc 2.87, 2 Ho 2.98
9 Ho 0.1962 0.2666 0.4628  1 Sc 2.98
10 Sc 0.8622 0.3622 0.5000  1 Sc 2.87, 2 Ho 2.98
11 Ho 0.8038 0.2666 0.0704  1 Sc 2.98
12 Ho 0.1962 0.7334 0.9296  1 Sc 2.98
13 Sc 0.6378 0.5000 0.1378  1 Sc 2.87, 2 Ho 2.98
14 Tb 0.0000 0.0000 0.0000  12 Ho 3.44
15 Sc 0.5000 0.1378 0.6378  1 Sc 2.87, 2 Ho 2.98
16 Ho 0.2666 0.4628 0.1962  1 Sc 2.98
17 Ho 0.8038 0.7334 0.5372  1 Sc 2.98
18 Ho 0.7334 0.9296 0.1962  1 Sc 2.98
19 Ho 0.2666 0.0704 0.8038  1 Sc 2.98


Entry 9:
DFT (PBE) results for a geometry-optimized TbHo6Sc structure.

Computed properties:
Volume in Å³/atom: 30.883
Space group: P-1
Formation enthalpy at 0 K in meV per atom: 210
E in eV per atom: -4.59

Cell: 6.6772 6.4323 6.7650 Å, 77.26 61.97 91.79°
Last column: nearest neighbours and their distance in Å.
Sites, in units of the cell vectors:
1 Ho 0.5581 0.7528 0.9947  6 Ho 3.24-3.60, 1 Sc 3.33, 1 Tb 3.42
2 Ho 0.4419 0.2472 0.0053  6 Ho 3.24-3.60, 1 Sc 3.33, 1 Tb 3.42
3 Tb 0.0000 0.5000 0.0000  2 Sc 3.22, 4 Ho 3.39-3.42
4 Ho 0.4163 0.2619 0.4927  6 Ho 3.24-3.58, 1 Sc 3.25
5 Ho 0.0964 0.7732 0.4669  6 Ho 3.26-3.60, 1 Tb 3.39, 1 Sc 3.53
6 Ho 0.9036 0.2268 0.5331  6 Ho 3.26-3.60, 1 Tb 3.39, 1 Sc 3.53
7 Sc 0.0000 0.0000 0.0000  2 Tb 3.22, 6 Ho 3.25-3.53
8 Ho 0.5837 0.7381 0.5073  6 Ho 3.24-3.58, 1 Sc 3.25


Entry 10:
DFT (PBE) results for a geometry-optimized Tb5Ho5Sc structure.

Computed properties:
Volume in Å³/atom: 32.535
Space group: P-6m2
Formation enthalpy at 0 K in meV per atom: 353
E in eV per atom: -4.41

Cell: 6.0013 6.0013 11.4741 Å, 90.00 90.00 120.00°
Last column: nearest neighbours and their distance in Å.
Sites, in units of the cell vectors:
1 Ho 0.0000 0.0000 0.7351  1 Tb 3.04, 3 Ho 3.21
2 Tb 0.0000 0.0000 0.0000  2 Ho 3.04
3 Tb 0.3333 0.6667 0.6906  9 Ho 3.50-3.71, 1 Sc 3.55, 3 Tb 3.89
4 Ho 0.3361 0.1680 0.5000  6 Ho 2.98-3.21
5 Sc 0.3333 0.6667 0.0000  5 Tb 3.46-3.55
6 Ho 0.8320 0.6639 0.5000  6 Ho 2.98-3.21
7 Tb 0.3333 0.6667 0.3094  9 Ho 3.50-3.71, 1 Sc 3.55, 3 Tb 3.89
8 Ho 0.0000 0.0000 0.2649  1 Tb 3.04, 3 Ho 3.21
9 Tb 0.6667 0.3333 0.8450  7 Tb 3.56-3.89, 3 Ho 3.69, 3 Sc 3.89
10 Tb 0.6667 0.3333 0.1550  7 Tb 3.56-3.89, 3 Ho 3.69, 3 Sc 3.89
11 Ho 0.8320 0.1680 0.5000  6 Ho 2.98-3.21